A plane-wave DFT calculation with PBE-GGA was carried out for a relaxed structure of LaHf2Hg2.

total magnetization: 0.01 μB/atom
E above lowest polymorph: 0.0 meV per atom
V: 128.18 Å³/cell

a = 4.395 Å, b = 4.395 Å, c = 6.635 Å
α = 90.00°, β = 90.00°, γ = 90.00°
Element x y z (fractional)
1 La 0.000 0.000 0.000
2 Hf 0.000 0.500 0.500
3 Hf 0.500 0.000 0.500
4 Hg 0.500 0.500 0.210
5 Hg 0.500 0.500 0.790